1.
Crystalline ErTe2O5 at its relaxed geometry, computed with PBE-GGA.

Structure (POSCAR):
```
ErTe2O5
1.0
7.3495 0.0000 0.0000
0.0000 10.6588 0.0000
0.0000 0.0000 6.9836
Er Te O
4 8 20
direct
0.0000 0.0561 0.2500 Er
0.0000 0.9439 0.7500 Er
0.5000 0.4439 0.7500 Er
0.5000 0.5561 0.2500 Er
0.1092 0.3506 0.0151 Te
0.1092 0.6494 0.5151 Te
0.3908 0.1494 0.5151 Te
0.3908 0.8506 0.0151 Te
0.6092 0.1494 0.9849 Te
0.6092 0.8506 0.4849 Te
0.8908 0.3506 0.4849 Te
0.8908 0.6494 0.9849 Te
0.0000 0.4383 0.2500 O
0.0000 0.5617 0.7500 O
0.1568 0.0654 0.5309 O
0.1568 0.9346 0.0309 O
0.1850 0.2117 0.1728 O
0.1850 0.7883 0.6728 O
0.3150 0.2883 0.6728 O
0.3150 0.7117 0.1728 O
0.3432 0.4346 0.0309 O
0.3432 0.5654 0.5309 O
0.5000 0.0617 0.7500 O
0.5000 0.9383 0.2500 O
0.6568 0.4346 0.4691 O
0.6568 0.5654 0.9691 O
0.6850 0.2883 0.8272 O
0.6850 0.7117 0.3272 O
0.8150 0.2117 0.3272 O
0.8150 0.7883 0.8272 O
0.8432 0.0654 0.9691 O
0.8432 0.9346 0.4691 O
```

## Properties
Its symmetry is Pbcn (60). The calculation puts the density of states at the Fermi level at 1.428 states/eV/f.u. The calculation puts the formation energy without anion corrections at -1.694 eV per atom. The value obtained for the total magnetization is 0.00 μB per cell.

2.
Crystalline MnCdSi2 at its relaxed geometry, computed with PBE-GGA.

Structure (POSCAR):
```
MnCdSi2
1.0
1.8624 -2.0896 0.0000
1.8624 2.0896 0.0000
0.0000 0.0000 8.0484
Mn Cd Si
1 1 2
direct
0.0000 0.0000 0.0000 Mn
0.5000 0.5000 0.7324 Cd
0.0000 0.0000 0.4195 Si
0.5000 0.5000 0.1898 Si
```

## Properties
Its symmetry is Cmm2 (35). The calculation puts the density of states at the Fermi level at 2.063 states/eV/f.u. The calculation puts the formation energy without anion corrections at 0.285 eV per atom. The value obtained for the total magnetization is 2.53 μB per cell.

3.
Crystalline As2AuCBr at its relaxed geometry, computed with PBE-GGA.

Structure (POSCAR):
```
As2AuCBr
1.0
4.4329 0.0000 0.0000
0.0000 4.4329 0.0000
0.0000 0.0000 4.6241
As Au C Br
2 1 1 1
direct
0.0000 0.5000 0.0000 As
0.5000 0.0000 0.0000 As
0.0000 0.0000 0.5000 Au
0.5000 0.5000 0.0000 C
0.5000 0.5000 0.5000 Br
```

## Properties
Its symmetry is P4/mmm (123). The calculation puts the density of states at the Fermi level at 1.978 states/eV/f.u. The energy above the most stable polymorph in this dataset comes out at 0.00 eV per formula unit. The calculation puts the formation energy without anion corrections at 1.221 eV per atom. The value obtained for the total magnetization is 0.00 μB per cell.

4.
Crystalline Mo4PSe at its relaxed geometry, computed with PBE-GGA.

Structure (POSCAR):
```
Mo4PSe
1.0
0.0000 3.7039 3.7039
3.7039 0.0000 3.7039
3.7039 3.7039 0.0000
Mo P Se
4 1 1
direct
0.1244 0.1244 0.1244 Mo
0.1244 0.1244 0.6267 Mo
0.1244 0.6267 0.1244 Mo
0.6267 0.1244 0.1244 Mo
0.5000 0.5000 0.5000 P
0.7500 0.7500 0.7500 Se
```

## Properties
Its symmetry is F-43m (216). The calculation puts the density of states at the Fermi level at 5.299 states/eV/f.u. The calculation puts the formation energy without anion corrections at 0.710 eV per atom. The value obtained for the total magnetization is 0.00 μB per cell.

| no. | electronic total energy (eV per cell) |
| --- | --- |
| 1 | -196.8 |
| 2 | -19.8 |
| 3 | -17.4 |
| 4 | -48.0 |